1.
VASP calculation (PBE-GGA) on crystalline SrYSn2 at its relaxed geometry.

Properties
E_tot = -4.5765 eV/atom
Space group = P4/mmm (123)

a b c (Å): 4.4470 5.1485 5.1485
angles (deg): 90.00 90.00 90.00
Sites, in units of the cell vectors:
Y 0.5000 0.0000 0.0000
Sr 0.5000 0.5000 0.5000
Sn 0.0000 0.0000 0.5000
Sn 0.0000 0.5000 0.0000

---

2.
VASP calculation (PBE-GGA) on crystalline AgPS2Cl at its relaxed geometry.

Properties
E_tot = -2.6931 eV/atom
Uncorrected formation energy = 979.4 meV/atom
Energy above the lowest structure with this stoichiometry = 0.675 eV/atom
Space group = P4/mmm (123)

a b c (Å): 4.8908 4.8908 4.7504
angles (deg): 90.00 90.00 90.00
Site moments in Bohr magnetons follow the coordinates.
Sites, in units of the cell vectors:
P 0.5000 0.5000 0.5000  0.55
S 0.0000 0.5000 0.0000  -0.23
S 0.5000 0.0000 0.0000  -0.23
Ag 0.0000 0.0000 0.0000  -0.03
Cl 0.0000 0.0000 0.5000  0.03

---

3.
VASP calculation (PBE-GGA) on crystalline TaCrPt2 at its relaxed geometry.

Properties
E_tot = -8.7864 eV/atom
Energy above the lowest structure with this stoichiometry = 0.098 eV/atom
Space group = Cmmm (65)

a b c (Å): 4.8433 4.8433 2.8075
angles (deg): 89.99 89.99 110.71
Site moments in Bohr magnetons follow the coordinates.
Sites, in units of the cell vectors:
Cr 0.0000 0.5000 0.5000  2.08
Pt 0.0000 0.0000 0.0000  0.03
Pt 0.5000 0.5000 0.0000  0.03
Ta 0.5000 0.0000 0.5000  -0.20

---

4.
VASP calculation (PBE-GGA) on crystalline AlCuTe2N at its relaxed geometry.

Properties
E_tot = -4.0392 eV/atom
Uncorrected formation energy = 450.3 meV/atom
Energy above the lowest structure with this stoichiometry = 0.000 eV/atom
Space group = P4/mmm (123)

a b c (Å): 5.6579 5.6579 3.4001
angles (deg): 90.00 90.00 90.00
Sites, in units of the cell vectors:
Te 0.0000 0.5000 0.0000
Te 0.5000 0.0000 0.0000
Al 0.0000 0.0000 0.0000
Cu 0.5000 0.5000 0.5000
N 0.0000 0.0000 0.5000

---

5.
VASP calculation (PBE-GGA) on crystalline LiSc2IrO at its relaxed geometry.

Properties
E_tot = -7.2156 eV/atom
Uncorrected formation energy = -1536.4 meV/atom
Space group = P4/mmm (123)

a b c (Å): 4.3885 4.3885 3.7199
angles (deg): 90.00 90.00 90.00
Sites, in units of the cell vectors:
Sc 0.0000 0.5000 0.0000
Sc 0.5000 0.0000 0.0000
Ir 0.5000 0.5000 0.5000
O 0.0000 0.0000 0.0000
Li 0.0000 0.0000 0.5000

---

6.
VASP calculation (PBE-GGA) on crystalline EuLu2Tl at its relaxed geometry.

Properties
E_tot = -5.3810 eV/atom
Energy above the lowest structure with this stoichiometry = 0.151 eV/atom
Space group = Fm-3m (225)

a b c (Å): 5.4572 5.4572 5.4572
angles (deg): 60.00 60.00 60.00
Site moments in Bohr magnetons follow the coordinates.
Sites, in units of the cell vectors:
Eu 0.5000 0.5000 0.5000  -6.90
Tl 0.0000 0.0000 0.0000  0.01
Lu 0.2500 0.2500 0.2500  -0.14
Lu 0.7500 0.7500 0.7500  -0.14

---

no.,total moment (Bohr magnetons per cell)
1,0.00
2,0.49
3,1.99
4,0.00
5,0.00
6,7.51